# NdErSe2 (PBE-GGA, relaxed)
# **Energy relative to the lowest polymorph listed for this composition**: 0.25 eV per formula unit
# **Formation energy (no corrections)**: -165.3 kJ/mol of atoms
# **V**: 101.8 Å³/f.u.
data_NdErSe2
_cell_length_a 3.9509
_cell_length_b 3.9509
_cell_length_c 7.5271
_cell_angle_alpha 90.00
_cell_angle_beta 90.00
_cell_angle_gamma 120.00
_space_group_name_H-M_alt 'P -3 m 1'
_space_group_IT_number 164
_space_group_name_Hall '-P 3 2"'
loop_
_atom_site_label
_atom_site_fract_x
_atom_site_fract_y
_atom_site_fract_z
_atom_site_occupancy
Nd1 0.0000 0.0000 0.0000 1
Er1 0.0000 0.0000 0.5000 1
Se1 0.3333 0.6667 0.7323 1